[1]
The following is a PBE calculation of a relaxed structure of CeAlGa2Ni2, from the Alexandria database.

volume: 107.4 Å³/cell
formation energy from the elements: -0.244 eV/atom
raw total energy: -4.79 eV per atom

a = 4.3508 Å, b = 4.3508 Å, c = 5.6749 Å
α = 90.00°, β = 90.00°, γ = 90.00°
Last column: nearest neighbours and their distance in Å.
Sites, in units of the cell vectors:
Ce 0.0000 0.0000 0.0000  2 Al 2.84
Al 0.0000 0.0000 0.5000  4 Ni 2.18
Ga 0.5000 0.5000 0.2484  4 Ni 2.60, 2 Ga 2.82-2.86
Ga 0.5000 0.5000 0.7516  4 Ni 2.60, 2 Ga 2.82-2.86
Ni 0.0000 0.5000 0.5000  2 Al 2.18
Ni 0.5000 0.0000 0.5000  2 Al 2.18

=====

[2]
The following is a PBE calculation of a relaxed structure of CeAl2GaNi2, from the Alexandria database.

volume: 109.1 Å³/cell
formation energy from the elements: -0.278 eV/atom
raw total energy: -4.95 eV per atom

a = 4.3798 Å, b = 4.3798 Å, c = 5.6892 Å
α = 90.00°, β = 90.00°, γ = 90.00°
Last column: nearest neighbours and their distance in Å.
Sites, in units of the cell vectors:
Ce 0.0000 0.0000 0.0000  2 Ga 2.84
Al 0.5000 0.5000 0.2526  4 Ni 2.60, 2 Al 2.82-2.87
Al 0.5000 0.5000 0.7474  4 Ni 2.60, 2 Al 2.82-2.87
Ga 0.0000 0.0000 0.5000  4 Ni 2.19
Ni 0.0000 0.5000 0.5000  2 Ga 2.19
Ni 0.5000 0.0000 0.5000  2 Ga 2.19

=====

[3]
The following is a PBE calculation of a relaxed structure of CeAlGaNi, from the Alexandria database.

volume: 77.3 Å³/cell
E above lowest polymorph: 0 meV/atom
formation energy from the elements: -0.484 eV/atom
raw total energy: -5.10 eV per atom

a = 5.7992 Å, b = 5.7992 Å, c = 5.7992 Å
α = 41.47°, β = 41.47°, γ = 41.47°
Last column: nearest neighbours and their distance in Å.
Sites, in units of the cell vectors:
Ce 0.0000 0.0000 0.0000  4 Ga 3.07-3.34, 4 Al 3.11-3.27
Al 0.7939 0.7939 0.7939  3 Ni 2.45, 3 Ga 2.72
Ga 0.2106 0.2106 0.2106  3 Ni 2.48, 3 Al 2.72
Ni 0.4988 0.4988 0.4988  3 Al 2.45, 3 Ga 2.48

=====

[4]
The following is a PBE calculation of a relaxed structure of CeAlGaNi, from the Alexandria database.

volume: 71.9 Å³/cell
E above lowest polymorph: 88 meV/atom
formation energy from the elements: -0.396 eV/atom
raw total energy: -5.02 eV per atom

a = 4.6678 Å, b = 4.6678 Å, c = 4.6678 Å
α = 60.00°, β = 60.00°, γ = 60.00°
Last column: nearest neighbours and their distance in Å.
Sites, in units of the cell vectors:
Ce 0.0000 0.0000 0.0000  4 Ni 2.86, 4 Ga 2.86
Al 0.5000 0.5000 0.5000  4 Ni 2.86, 4 Ga 2.86
Ga 0.7500 0.7500 0.7500  4 Ce 2.86, 4 Al 2.86
Ni 0.2500 0.2500 0.2500  4 Ce 2.86, 4 Al 2.86